DFT (meta-GGA SCAN) results for a crystal of Li2AgRh relaxed with PBEsol.

Lattice parameters (Å, degrees): 8.7089 2.6824 4.8544 90.00 99.00 90.00
Last column: nearest neighbours and their distance in Å.
Fractional coordinates of all 8 atoms:
1 Li 0.2467 0.0000 0.2311  6 Li 2.62-2.93, 3 Rh 2.63, 3 Ag 2.68-2.73
2 Li 0.2533 0.5000 0.7689  6 Li 2.62-2.93, 3 Rh 2.63, 3 Ag 2.68-2.73
3 Li 0.7467 0.5000 0.2311  6 Li 2.62-2.93, 3 Rh 2.63, 3 Ag 2.68-2.73
4 Li 0.7533 0.0000 0.7689  6 Li 2.62-2.93, 3 Rh 2.63, 3 Ag 2.68-2.73
5 Ag 0.0000 0.0000 0.5000  2 Ag 2.68, 6 Li 2.68-2.73, 4 Rh 2.77
6 Ag 0.5000 0.5000 0.5000  2 Ag 2.68, 6 Li 2.68-2.73, 4 Rh 2.77
7 Rh 0.0000 0.5000 0.0000  6 Li 2.63, 2 Rh 2.68, 4 Ag 2.77
8 Rh 0.5000 0.0000 0.0000  6 Li 2.63, 2 Rh 2.68, 4 Ag 2.77

**V**: 14.0 Å³/atom
**M_tot**: 0.42 μB/f.u.
**Energy of formation from the pure elements**: -0.127 eV per atom